# LiCaCd2Au4

LiCaCd2Au4 after structural relaxation (PBE, the Alexandria database).

Summary:
Energy relative to the elements in eV/atom: -0.45
ρ in g cm⁻³: 10.93
Uncorrected energy in eV per atom: -2.81
Space-group type: R-3m

```
LiCaCd2Au4
1.0
4.768 0.000 0.000
2.384 4.129 0.000
2.384 1.376 8.178
Au Cd Li Ca
4 2 1 1
direct
0.609 0.609 0.173
0.391 0.391 0.827
0.873 0.873 0.382
0.127 0.127 0.618
0.754 0.754 0.739
0.246 0.246 0.261
0.500 0.500 0.500
0.000 0.000 0.000
```